No. 1
Below is HfIr3 after structural relaxation, with properties calculated at the GGA-PBE level. Values from VASP.

Properties
D(E_F), states/eV/f.u.: 3.39
SG: I4/mmm
Total magnetization, μB/f.u.: 0.00
Formation energy from the elements, eV per formula unit: -2.51

The structure in Quantum ESPRESSO input format:
```
&SYSTEM
  ibrav = 0, nat = 4, ntyp = 2
/
ATOMIC_SPECIES
Hf 178.49 Hf.upf
Ir 192.22 Ir.upf
ATOMIC_POSITIONS crystal
Hf 0.0000 0.0000 0.0000
Ir 0.2500 0.7500 0.5000
Ir 0.5000 0.5000 0.0000
Ir 0.7500 0.2500 0.5000
CELL_PARAMETERS angstrom
-1.9871 1.9871 3.9778
1.9871 -1.9871 3.9778
1.9871 1.9871 -3.9778
```



No. 2
Below is Al2Cl after structural relaxation, with properties calculated at the GGA-PBE level. Values from VASP.

Properties
Energy above the most stable polymorph in this dataset, kJ/mol of formula units: 221.1
D(E_F), states/eV/f.u.: 1.61
SG: P4/mmm
Uncorrected formation energy, eV/atom: 0.32
Total magnetization, μB/f.u.: 0.00

The structure in Quantum ESPRESSO input format:
```
&SYSTEM
  ibrav = 0, nat = 3, ntyp = 2
/
ATOMIC_SPECIES
Al 26.98 Al.upf
Cl 35.45 Cl.upf
ATOMIC_POSITIONS crystal
Al 0.0000 0.5000 0.0000
Al 0.5000 0.0000 0.0000
Cl 0.0000 0.0000 0.5000
CELL_PARAMETERS angstrom
4.9554 0.0000 0.0000
0.0000 4.9554 0.0000
0.0000 0.0000 3.1177
```



No. 3
Below is FeNi2Ir after structural relaxation, with properties calculated at the GGA-PBE level. Values from VASP.

Properties
D(E_F), states/eV/f.u.: 4.80
SG: Cmmm
Total magnetization, μB/f.u.: 4.57
Formation energy from the elements, eV per formula unit: -0.13

The structure in Quantum ESPRESSO input format:
```
&SYSTEM
  ibrav = 0, nat = 4, ntyp = 3
/
ATOMIC_SPECIES
Fe 55.84 Fe.upf
Ni 58.69 Ni.upf
Ir 192.22 Ir.upf
ATOMIC_POSITIONS crystal
Fe 0.0000 0.0000 0.0000
Ni 0.0000 0.5000 0.5000
Ni 0.5000 0.0000 0.5000
Ir 0.5000 0.5000 0.0000
CELL_PARAMETERS angstrom
2.5777 -3.6453 0.0000
2.5777 3.6453 0.0000
0.0000 0.0000 2.6166
```



No. 4
Below is Ca3PmPd8 after structural relaxation, with properties calculated at the GGA-PBE level. Values from VASP.

Properties
D(E_F), states/eV/f.u.: 9.97
SG: R3m
Total magnetization, μB/f.u.: 0.00
Formation energy from the elements, eV per formula unit: -8.58

The structure in Quantum ESPRESSO input format:
```
&SYSTEM
  ibrav = 0, nat = 12, ntyp = 3
/
ATOMIC_SPECIES
Ca 40.08 Ca.upf
Pm 145.00 Pm.upf
Pd 106.42 Pd.upf
ATOMIC_POSITIONS crystal
Ca 0.0000 0.0000 0.0000
Ca 0.1235 0.1235 0.1235
Ca 0.4947 0.4947 0.4947
Pm 0.6217 0.6217 0.6217
Pd 0.0581 0.5598 0.5598
Pd 0.0597 0.0597 0.5620
Pd 0.0597 0.5620 0.0597
Pd 0.3099 0.3099 0.3099
Pd 0.5598 0.0581 0.5598
Pd 0.5598 0.5598 0.0581
Pd 0.5620 0.0597 0.0597
Pd 0.8098 0.8098 0.8098
CELL_PARAMETERS angstrom
2.7472 1.5861 8.9169
-2.7472 1.5861 8.9169
0.0000 -3.1722 8.9169
```



No. 5
Below is NpVTcGe after structural relaxation, with properties calculated at the GGA-PBE level. Values from VASP.

Properties
D(E_F), states/eV/f.u.: 7.11
SG: F-43m
Total magnetization, μB/f.u.: 3.63
Formation energy from the elements, eV per formula unit: 0.96

The structure in Quantum ESPRESSO input format:
```
&SYSTEM
  ibrav = 0, nat = 4, ntyp = 4
/
ATOMIC_SPECIES
Np 237.00 Np.upf
V 50.94 V.upf
Tc 98.00 Tc.upf
Ge 72.64 Ge.upf
ATOMIC_POSITIONS crystal
Np 0.0000 0.0000 0.0000
V 0.2500 0.2500 0.2500
Tc 0.5000 0.5000 0.5000
Ge 0.7500 0.7500 0.7500
CELL_PARAMETERS angstrom
0.0000 3.2310 3.2310
3.2310 0.0000 3.2310
3.2310 3.2310 0.0000
```



No. 6
Below is CsHgBiTe2 after structural relaxation, with properties calculated at the GGA-PBE level. Values from VASP.

Properties
Energy above the most stable polymorph in this dataset, kJ/mol of formula units: 0.0
D(E_F), states/eV/f.u.: 4.35
SG: P4/mmm
Uncorrected formation energy, eV/atom: -0.29
Total magnetization, μB/f.u.: 0.00

The structure in Quantum ESPRESSO input format:
```
&SYSTEM
  ibrav = 0, nat = 5, ntyp = 4
/
ATOMIC_SPECIES
Cs 132.91 Cs.upf
Hg 200.59 Hg.upf
Bi 208.98 Bi.upf
Te 127.60 Te.upf
ATOMIC_POSITIONS crystal
Cs 0.0000 0.0000 0.0000
Hg 0.5000 0.5000 0.0000
Bi 0.5000 0.5000 0.5000
Te 0.0000 0.5000 0.5000
Te 0.5000 0.0000 0.5000
CELL_PARAMETERS angstrom
6.1408 0.0000 0.0000
0.0000 6.1408 0.0000
0.0000 0.0000 5.9601
```